Entry 1:
VASP calculation (meta-GGA SCAN) on LiZn2In at its PBEsol-relaxed geometry.

Summary:
- electronic total energy (eV per atom) = -15.79
- DOS at the Fermi energy (states/eV/cell) = 2.1
- calculated density (g/cm3) = 6.2
- energy of formation from the pure elements (eV per atom) = -0.089
- total magnetic moment (μB/f.u.) = 0.00

a b c (Å): 9.0934 2.9846 4.9900
angles (deg): 90.00 97.24 90.00
Last column: nearest neighbours and their distance in Å.
Sites, in units of the cell vectors:
Li 0.0000 0.0000 0.0000  6 Zn 2.69-2.80, 4 In 2.91, 2 Li 2.98
Li 0.5000 0.5000 0.0000  6 Zn 2.69-2.80, 4 In 2.91, 2 Li 2.98
Zn 0.2459 0.5000 0.2225  4 Zn 2.68-2.98, 3 Li 2.69-2.80, 3 In 2.77-2.95
Zn 0.2541 0.0000 0.7775  4 Zn 2.68-2.98, 3 Li 2.69-2.80, 3 In 2.77-2.95
Zn 0.7459 0.0000 0.2225  4 Zn 2.68-2.98, 3 Li 2.69-2.80, 3 In 2.77-2.95
Zn 0.7541 0.5000 0.7775  4 Zn 2.68-2.98, 3 Li 2.69-2.80, 3 In 2.77-2.95
In 0.0000 0.5000 0.5000  6 Zn 2.77-2.95, 4 Li 2.91, 2 In 2.98
In 0.5000 0.0000 0.5000  6 Zn 2.77-2.95, 4 Li 2.91, 2 In 2.98

Entry 2:
VASP calculation (meta-GGA SCAN) on LiZn2In at its PBEsol-relaxed geometry.

Summary:
- electronic total energy (eV per atom) = -15.83
- DOS at the Fermi energy (states/eV/cell) = 3.0
- calculated density (g/cm3) = 6.4
- energy of formation from the pure elements (eV per atom) = -0.124
- total magnetic moment (μB/f.u.) = 0.00

a b c (Å): 6.3953 6.3953 6.3953
angles (deg): 90.00 90.00 90.00
Last column: nearest neighbours and their distance in Å.
Sites, in units of the cell vectors:
Li 0.0000 0.0000 0.0000  4 In 2.77, 4 Zn 2.77
Li 0.0000 0.5000 0.5000  4 In 2.77, 4 Zn 2.77
Li 0.5000 0.0000 0.5000  4 In 2.77, 4 Zn 2.77
Li 0.5000 0.5000 0.0000  4 In 2.77, 4 Zn 2.77
Zn 0.0000 0.0000 0.5000  4 In 2.77, 4 Zn 2.77
Zn 0.0000 0.5000 0.0000  4 In 2.77, 4 Zn 2.77
Zn 0.2500 0.2500 0.2500  4 Zn 2.77, 4 Li 2.77
Zn 0.2500 0.7500 0.7500  4 Li 2.77, 4 Zn 2.77
Zn 0.5000 0.0000 0.0000  4 In 2.77, 4 Zn 2.77
Zn 0.5000 0.5000 0.5000  4 In 2.77, 4 Zn 2.77
Zn 0.7500 0.2500 0.7500  4 Li 2.77, 4 Zn 2.77
Zn 0.7500 0.7500 0.2500  4 Li 2.77, 4 Zn 2.77
In 0.2500 0.2500 0.7500  4 Li 2.77, 4 Zn 2.77
In 0.2500 0.7500 0.2500  4 Li 2.77, 4 Zn 2.77
In 0.7500 0.2500 0.2500  4 Li 2.77, 4 Zn 2.77
In 0.7500 0.7500 0.7500  4 Li 2.77, 4 Zn 2.77

Entry 3:
VASP calculation (meta-GGA SCAN) on LiZn2In at its PBEsol-relaxed geometry.

Summary:
- electronic total energy (eV per atom) = -15.63
- DOS at the Fermi energy (states/eV/cell) = 4.5
- calculated density (g/cm3) = 5.9
- energy of formation from the pure elements (eV per atom) = 0.068
- total magnetic moment (μB/f.u.) = 0.00

a b c (Å): 3.0103 3.0103 27.3987
angles (deg): 90.00 90.00 120.00
Last column: nearest neighbours and their distance in Å.
Sites, in units of the cell vectors:
Li 0.0000 0.0000 0.0000  6 Zn 2.74, 6 Li 3.01
Li 0.3333 0.6667 0.6667  6 Zn 2.74, 6 Li 3.01
Li 0.6667 0.3333 0.3333  6 Zn 2.74, 6 Li 3.01
Zn 0.0000 0.0000 0.2561  3 Li 2.74, 3 In 3.00, 6 Zn 3.01
Zn 0.0000 0.0000 0.7439  3 Li 2.74, 3 In 3.00, 6 Zn 3.01
Zn 0.3333 0.6667 0.4106  3 Li 2.74, 3 In 3.00, 6 Zn 3.01
Zn 0.3333 0.6667 0.9228  3 Li 2.74, 3 In 3.00, 6 Zn 3.01
Zn 0.6667 0.3333 0.0772  3 Li 2.74, 3 In 3.00, 6 Zn 3.01
Zn 0.6667 0.3333 0.5894  3 Li 2.74, 3 In 3.00, 6 Zn 3.01
In 0.0000 0.0000 0.5000  6 Zn 3.00, 6 In 3.01
In 0.3333 0.6667 0.1667  6 Zn 3.00, 6 In 3.01
In 0.6667 0.3333 0.8333  6 Zn 3.00, 6 In 3.01

Entry 4:
VASP calculation (meta-GGA SCAN) on LiZn2In at its PBEsol-relaxed geometry.

Summary:
- electronic total energy (eV per atom) = -15.78
- DOS at the Fermi energy (states/eV/cell) = 1.1
- calculated density (g/cm3) = 6.2
- energy of formation from the pure elements (eV per atom) = -0.077
- total magnetic moment (μB/f.u.) = 0.00

a b c (Å): 2.9725 3.9852 5.7066
angles (deg): 90.00 90.00 90.00
Last column: nearest neighbours and their distance in Å.
Sites, in units of the cell vectors:
Li 0.0000 0.0000 0.0000  8 Zn 2.80, 2 In 2.85, 2 Li 2.97
Zn 0.5000 0.5000 0.2248  1 Zn 2.57, 4 Li 2.80
Zn 0.5000 0.5000 0.7752  1 Zn 2.57, 4 Li 2.80
In 0.0000 0.0000 0.5000  2 Li 2.85, 8 Zn 2.94, 2 In 2.97

Entry 5:
VASP calculation (meta-GGA SCAN) on LiZn2In at its PBEsol-relaxed geometry.

Summary:
- electronic total energy (eV per atom) = -15.81
- DOS at the Fermi energy (states/eV/cell) = 2.1
- calculated density (g/cm3) = 6.1
- energy of formation from the pure elements (eV per atom) = -0.111
- total magnetic moment (μB/f.u.) = 0.00

a b c (Å): 4.2633 2.9857 10.8279
angles (deg): 90.00 90.00 90.00
Last column: nearest neighbours and their distance in Å.
Sites, in units of the cell vectors:
Li 0.0000 0.0000 0.0000  7 Zn 2.81-3.00, 2 Li 2.99, 4 In 3.10
Li 0.0000 0.5000 0.5000  7 Zn 2.81-3.00, 2 Li 2.99, 4 In 3.10
Zn 0.0000 0.0000 0.7234  2 Zn 2.52
Zn 0.0000 0.5000 0.2234  2 Zn 2.52
Zn 0.5000 0.0000 0.5988  2 Zn 2.52, 1 In 2.75, 4 Li 2.81
Zn 0.5000 0.5000 0.0988  2 Zn 2.52, 1 In 2.75, 4 Li 2.81
In 0.5000 0.0000 0.3451  7 Zn 2.75-3.06, 2 In 2.99
In 0.5000 0.5000 0.8451  7 Zn 2.75-3.06, 2 In 2.99

Entry 6:
VASP calculation (meta-GGA SCAN) on LiZn2In at its PBEsol-relaxed geometry.

Summary:
- electronic total energy (eV per atom) = -15.79
- DOS at the Fermi energy (states/eV/cell) = 1.2
- calculated density (g/cm3) = 6.3
- energy of formation from the pure elements (eV per atom) = -0.090
- total magnetic moment (μB/f.u.) = 0.00

a b c (Å): 2.9387 3.8124 5.9573
angles (deg): 90.00 90.00 90.00
Last column: nearest neighbours and their distance in Å.
Sites, in units of the cell vectors:
Li 0.0000 0.0000 0.0000  5 Zn 2.64-2.78, 4 In 2.89, 2 Li 2.94
Zn 0.0000 0.0000 0.4434  1 Li 2.64, 6 Zn 2.71-2.94
Zn 0.5000 0.5000 0.2339  6 Zn 2.71-2.94, 4 Li 2.78, 2 In 2.97-2.98
In 0.5000 0.5000 0.7330  4 Li 2.89, 2 In 2.94, 6 Zn 2.96-2.98

> What is the formula in the second record?

LiZn2In